No. 1
5
Lattice="4.751 0.000 0.000 0.000 4.751 0.000 0.000 0.000 2.725" Properties=species:S:1:pos:R:3 comment="PBE+U CoBP2O, relaxed" e_above_lowest_polymorph_ev_per_fu=0.00 pbc="T T T"
P 0.000 2.375 0.000
Co 2.375 2.375 1.362
P 2.375 0.000 0.000
O 0.000 0.000 1.362
B 0.000 0.000 0.000

No. 2
5
Lattice="4.485 0.000 0.000 0.000 4.485 0.000 0.000 0.000 3.350" Properties=species:S:1:pos:R:3 comment="PBE+U CoBP2O, relaxed" e_above_lowest_polymorph_ev_per_fu=3.83 pbc="T T T"
Co 0.000 0.000 0.000
O 0.000 0.000 1.675
P 0.000 2.243 0.000
P 2.243 0.000 0.000
B 2.243 2.243 1.675

No. 3
24
Lattice="4.948 0.002 -0.010 -2.467 7.715 0.050 -2.447 -2.953 7.134" Properties=species:S:1:pos:R:3 comment="PBE+U Co3BPO7, relaxed" total_energy_ev_per_cell=-165.73 pbc="T T T"
O 2.105 -0.410 4.328
O -0.599 3.757 0.561
Co 0.545 0.762 3.698
Co -1.926 0.233 6.056
B 2.990 -1.032 3.441
P 0.821 0.285 0.427
Co 0.540 3.115 2.136
O -2.398 -1.830 6.512
O -2.414 6.706 0.843
Co -1.936 5.486 2.567
O 2.096 4.153 1.298
Co 0.719 5.857 0.521
P -1.913 2.854 4.303
B 2.981 3.580 0.379
O 1.556 2.597 3.907
O 1.021 1.137 1.709
O -1.635 2.250 5.709
Co 0.734 -1.790 5.599
O -0.590 -0.941 3.681
O -0.961 2.175 3.278
O -2.712 4.649 7.009
O 0.033 5.938 2.439
O -1.639 4.385 4.291
O 0.045 -0.055 6.419

No. 4
20
Lattice="-1.815 4.195 4.084 -0.186 -5.240 3.174 6.003 1.093 -0.581" Properties=species:S:1:pos:R:3 comment="PBE+U PaCo3B4O12, relaxed" total_energy_ev_per_cell=-152.03 pbc="T T T"
B 5.526 -1.375 1.236
O 0.881 0.468 4.007
O 4.531 2.613 1.803
B 2.001 0.024 3.338
Co 2.533 2.470 1.489
B 1.267 4.277 3.748
Co -1.092 0.008 3.680
Pa 0.000 0.000 0.000
O -1.111 -1.478 5.185
O -1.195 1.292 5.245
O 4.663 -2.360 1.730
O 5.375 0.012 1.346
O 2.667 -3.833 2.966
O 2.888 0.931 2.800
O 2.412 3.909 3.034
Co 2.561 -2.430 1.507
B -0.789 -2.831 5.031
O 0.336 -3.363 4.391
O 0.332 3.423 4.344
O 2.235 -1.328 3.208

No. 5
10
Lattice="4.649 0.000 0.000 0.000 5.210 0.000 0.000 0.000 5.210" Properties=species:S:1:pos:R:3 comment="PBE+U PaCo2BO6, relaxed" total_energy_ev_per_cell=-73.02 pbc="T T T"
Co 4.366 2.605 0.000
Pa 2.732 2.605 2.605
B 2.773 0.000 0.000
O 0.658 2.605 2.605
O 1.426 0.000 0.000
O 3.413 4.052 4.052
O 3.413 4.052 1.158
O 3.413 1.158 4.052
O 3.413 1.158 1.158
Co 4.366 0.000 2.605

No. 6
12
Lattice="-3.635 -0.356 3.101 0.805 -3.509 -3.161 3.773 -2.825 4.098" Properties=species:S:1:pos:R:3 comment="PBE+U PaCoB2O8, relaxed" total_energy_ev_per_cell=-90.75 pbc="T T T"
O 3.084 -5.244 1.152
O 2.679 -3.481 2.741
Co 0.000 0.000 0.000
B 2.095 -4.533 1.935
O 1.214 -3.873 0.978
O -1.736 -3.210 1.297
O -0.314 -1.268 1.327
Pa 1.886 -1.413 2.049
O 1.257 -5.423 2.710
B -1.152 -2.158 2.102
O -0.271 -2.818 3.060
O -2.141 -1.447 2.886

No. 7
20
Lattice="-3.165 -4.002 -3.194 5.867 -1.270 -0.441 -1.681 -0.260 5.774" Properties=species:S:1:pos:R:3 comment="PBE+U PaCo4B3O12, relaxed" total_energy_ev_per_cell=-135.08 pbc="T T T"
O 1.053 -4.197 -2.031
Co 0.511 -2.767 1.070
O 3.613 -2.439 -0.422
O -2.591 -3.094 2.562
O 0.135 -2.407 -0.797
Co -0.840 -0.130 2.887
Pa 0.000 0.000 0.000
O -0.783 -4.204 0.946
O 3.226 -1.849 3.004
O 1.968 -3.886 0.454
B -2.423 -2.131 1.290
Co 2.934 -0.635 -0.221
O 1.805 -1.329 1.193
O -0.031 -1.336 4.171
Co -1.583 -2.001 -1.597
B 1.351 -2.636 -1.817
O 0.886 -3.126 2.937
B 2.093 -0.765 2.666
O -0.946 -1.647 1.686
O -2.205 -3.684 -0.864

No. 8
14
Lattice="-0.897 1.284 5.146 -3.170 -4.051 3.269 4.179 -1.895 4.012" Properties=species:S:1:pos:R:3 comment="PBE+U PmCoBO4, relaxed" total_energy_ev_per_cell=-100.56 pbc="T T T"
B -1.986 -2.096 5.800
O 2.068 -1.968 5.177
Co 2.089 -0.947 2.006
O -0.988 -1.047 5.712
B 2.097 -2.566 6.629
O -0.714 -1.027 2.943
Pm 0.504 -2.973 3.641
Co 1.641 -0.306 4.579
O -1.957 -2.694 7.251
O 1.099 -3.616 6.716
O 0.825 -3.635 9.485
O -1.543 -3.286 4.877
Pm 0.000 0.000 0.000
O 1.654 -1.376 7.552

No. 9
12
Lattice="5.120 0.000 0.000 -2.560 4.434 0.000 0.000 0.000 5.493" Properties=species:S:1:pos:R:3 comment="PBE+U PuCoB2O8, relaxed" total_energy_ev_per_cell=-91.22 pbc="T T T"
O 0.000 1.536 3.966
O 2.560 1.478 3.457
B 2.560 1.478 2.057
O -1.230 3.667 3.966
O 1.230 3.667 3.966
O 0.000 2.956 2.035
Co 0.000 0.000 2.746
O 2.560 2.899 1.527
O 1.330 0.768 1.527
B 0.000 2.956 3.436
Pu 0.000 0.000 0.000
O 3.790 0.768 1.527

No. 10
5
Lattice="-0.803 -1.655 3.566 3.851 -0.159 0.794 -0.189 3.652 1.653" Properties=species:S:1:pos:R:3 comment="PBE+U CoBRhO2, relaxed" total_energy_ev_per_cell=-25.82 pbc="T T T"
O -0.095 1.826 0.826
Rh 0.000 0.000 0.000
Co 1.429 0.919 3.006
B 1.926 -0.080 0.397
O -0.402 -0.828 1.783

No. 11
20
Lattice="5.954 -0.010 -0.014 -1.444 5.776 -0.014 -1.444 -1.847 5.473" Properties=species:S:1:pos:R:3 comment="PBE+U SmCo3B4O12, relaxed" total_energy_ev_per_cell=-145.27 pbc="T T T"
O 3.676 -0.998 3.426
O 4.919 0.591 2.018
O -1.854 2.192 4.243
O -0.612 0.353 5.303
O 1.532 0.830 3.535
Sm 0.000 0.000 0.000
Co -1.444 2.416 2.405
O 2.574 4.427 0.141
O 0.437 2.817 2.722
Co 2.693 2.540 -0.014
O 4.587 2.718 0.456
B 1.532 5.296 0.320
O 0.490 5.190 1.201
O 2.628 2.231 1.909
Co 1.817 -1.037 3.054
B 4.771 -0.573 2.722
O -1.523 4.349 2.722
B 1.532 1.959 2.722
O 1.532 -1.188 4.988
B -1.706 1.155 5.124

No. 12
20
Lattice="5.933 -0.013 -0.018 -1.442 5.755 -0.018 -1.442 -1.844 5.452" Properties=species:S:1:pos:R:3 comment="PBE+U TbCo3B4O12, relaxed" total_energy_ev_per_cell=-145.39 pbc="T T T"
O -1.856 2.198 4.241
O 3.673 -1.000 3.430
O 1.524 -1.182 4.961
B -1.711 1.146 5.107
O 2.618 2.220 1.896
O -0.625 0.327 5.275
Co -1.442 2.402 2.395
O 0.468 5.169 1.174
O 4.563 2.703 0.454
Co 1.812 -1.036 3.038
O 4.904 0.574 1.985
O 0.431 2.804 2.707
B 1.524 1.949 2.707
Co 2.679 2.532 -0.018
O 1.524 0.822 3.518
B 1.524 5.283 0.308
O -1.515 4.326 2.707
B 4.760 -0.582 2.707
Tb 0.000 0.000 0.000
O 2.580 4.425 0.140

Number 1: N(E_F) 2.3 states/eV/cell, magnetization 2.43 μB/f.u.. Number 2: N(E_F) 2.2 states/eV/cell, magnetization 1.49 μB/f.u.. Number 3: N(E_F) 0.0 states/eV/cell, magnetization 9.00 μB/f.u.. Number 4: N(E_F) 5.7 states/eV/cell, magnetization 10.05 μB/f.u.. Number 5: N(E_F) 0.0 states/eV/cell, magnetization 6.03 μB/f.u.. Number 6: N(E_F) 6.3 states/eV/cell, magnetization 2.03 μB/f.u.. Number 7: N(E_F) 3.8 states/eV/cell, magnetization 2.00 μB/f.u.. Number 8: N(E_F) 3.6 states/eV/cell, magnetization 3.01 μB/f.u.. Number 9: N(E_F) 6.5 states/eV/cell, magnetization 1.00 μB/f.u.. Number 10: N(E_F) 3.1 states/eV/cell, magnetization 3.06 μB/f.u.. Number 11: N(E_F) 0.0 states/eV/cell, magnetization 0.00 μB/f.u.. Number 12: N(E_F) 0.0 states/eV/cell, magnetization 0.00 μB/f.u..